A geometry-optimized TlInSi2O6 structure. Source: Alexandria, functional PBE-GGA.

```
data_TlInSi2O6
_symmetry_space_group_name_H-M 'C 1 2/c 1'
_symmetry_Int_Tables_number 15
_cell_length_a 10.559
_cell_length_b 11.741
_cell_length_c 5.462
_cell_angle_alpha 90.00
_cell_angle_beta 107.80
_cell_angle_gamma 90.00
loop_
_symmetry_equiv_pos_as_xyz
'x,y,z'
'-x,-y,-z'
'-x,y,-z+1/2'
'x,-y,z+1/2'
'x+1/2,y+1/2,z'
'-x+1/2,-y+1/2,-z'
'-x+1/2,y+1/2,-z+1/2'
'x+1/2,-y+1/2,z+1/2'
loop_
_atom_site_label
_atom_site_fract_x
_atom_site_fract_y
_atom_site_fract_z
Tl1 0.000 0.091 0.250
In1 0.000 0.250 0.750
Si1 0.206 0.424 0.136
O1 0.099 0.321 0.092
O2 0.138 0.119 0.754
O3 0.184 0.488 0.855
```

M_tot   0.0 μB/f.u.
Calculated volume   16.12 Å³ per atom
Energy   -265.83 eV per cell
Formation energy from raw total energies   -2.08 eV/atom

A geometry-optimized Zr5AlB2 structure. Source: Alexandria, functional PBE-GGA.

```
data_Zr5AlB2
_symmetry_space_group_name_H-M 'I 4/m c m'
_symmetry_Int_Tables_number 140
_symmetry_space_group_name_Hall '-I 4 2c'
_cell_length_a 6.656
_cell_length_b 6.656
_cell_length_c 12.852
_cell_angle_alpha 90.00
_cell_angle_beta 90.00
_cell_angle_gamma 90.00
loop_
_atom_site_label
_atom_site_fract_x
_atom_site_fract_y
_atom_site_fract_z
Zr1 0.000 0.000 0.000
Zr2 0.177 0.323 0.131
Al1 0.000 0.000 0.250
B1 0.099 0.401 0.500
```

ΔE_f   -0.353 eV/atom
M_tot   0.0 μB/f.u.
Calculated volume   17.79 Å³ per atom
Energy   -250.64 eV per cell

A geometry-optimized Li2AsH structure. Source: Alexandria, functional PBE-GGA.

```
data_Li2AsH
_symmetry_space_group_name_H-M 'P 4/m m m'
_symmetry_Int_Tables_number 123
_symmetry_space_group_name_Hall '-P 4 2'
_cell_length_a 2.744
_cell_length_b 2.744
_cell_length_c 6.676
_cell_angle_alpha 90.00
_cell_angle_beta 90.00
_cell_angle_gamma 90.00
loop_
_atom_site_label
_atom_site_fract_x
_atom_site_fract_y
_atom_site_fract_z
Li1 0.000 0.000 0.193
As1 0.500 0.500 0.500
H1 0.500 0.500 0.000
```

Excess energy over the best structure of this formula in the dataset   110 meV/atom
M_tot   0.0 μB/f.u.
Calculated volume   12.57 Å³ per atom
Energy   -13.02 eV per cell

A geometry-optimized LiAl4Cd2O8 structure. Source: Alexandria, functional PBE-GGA.

```
data_LiAl4Cd2O8
_symmetry_space_group_name_H-M 'F -4 3 m'
_symmetry_Int_Tables_number 216
_symmetry_space_group_name_Hall 'F -4 2 3'
_cell_length_a 8.852
_cell_length_b 8.852
_cell_length_c 8.852
_cell_angle_alpha 90.00
_cell_angle_beta 90.00
_cell_angle_gamma 90.00
loop_
_atom_site_label
_atom_site_fract_x
_atom_site_fract_y
_atom_site_fract_z
Li1 0.000 0.000 0.000
Al1 0.136 0.136 0.136
Cd1 0.000 0.000 0.500
Cd2 0.250 0.250 0.750
O1 0.107 0.107 0.893
O2 0.148 0.148 0.352
```

Excess energy over the best structure of this formula in the dataset   236 meV/atom
M_tot   0.0 μB/f.u.
Calculated volume   11.56 Å³ per atom
Energy   -349.19 eV per cell
Formation energy from raw total energies   -1.93 eV/atom

A geometry-optimized NaTaRh2 structure. Source: Alexandria, functional PBE-GGA.

```
data_NaTaRh2
_symmetry_space_group_name_H-M 'I -4 2 d'
_symmetry_Int_Tables_number 122
_symmetry_space_group_name_Hall 'I -4 2bw'
_cell_length_a 7.056
_cell_length_b 7.056
_cell_length_c 5.918
_cell_angle_alpha 90.00
_cell_angle_beta 90.00
_cell_angle_gamma 90.00
loop_
_atom_site_label
_atom_site_fract_x
_atom_site_fract_y
_atom_site_fract_z
Na1 0.000 0.000 0.000
Ta1 0.000 0.000 0.500
Rh1 0.217 0.750 0.625
```

ΔE_f   0.238 eV/atom
M_tot   0.0 μB/f.u.
Calculated volume   18.41 Å³ per atom
Energy   -107.69 eV per cell

A geometry-optimized BaCdBi structure. Source: Alexandria, functional PBE-GGA.

```
data_BaCdBi
_symmetry_space_group_name_H-M 'P 3 m 1'
_symmetry_Int_Tables_number 156
_cell_length_a 5.0486
_cell_length_b 5.0486
_cell_length_c 5.0717
_cell_angle_alpha 90.00
_cell_angle_beta 90.00
_cell_angle_gamma 120.00
loop_
_symmetry_equiv_pos_as_xyz
'x,y,z'
'-y,x-y,z'
'-x+y,-x,z'
'-y,-x,z'
'-x+y,y,z'
'x,x-y,z'
loop_
_atom_site_label
_atom_site_fract_x
_atom_site_fract_y
_atom_site_fract_z
Ba1 0.0000 0.0000 0.0000
Cd1 0.3333 0.6667 0.5898
Bi1 0.6667 0.3333 0.4512
```

Excess energy over the best structure of this formula in the dataset   46 meV/atom
ΔE_f   -0.545 eV/atom
M_tot   0.0 μB/f.u.
Calculated volume   37.32 Å³ per atom
Energy   -8.35 eV per cell

Question: Which value of calculated volume does entry 6 give?
Answer: 37.32 Å³ per atom

Question: Among the records above, which one has the highest calculated volume?
Answer: BaCdBi

Question: Among the records above, which one has the lowest calculated volume?
Answer: LiAl4Cd2O8